[1]
FeRhW2 | PBE-GGA | optimized geometry

For the excess energy over the best structure of this formula in the dataset, the calculation gives 0.0300 eV/atom. The calculation puts the formation energy at 0.013 eV/atom. The total energy is -10.417 eV per atom.

The structure belongs to space group Pmmm (No. 47); the cell edges are 2.743, 3.772 and 5.492 Å and the angles 90.00°, 90.00° and 90.00°. Symmetry generates all atoms from Fe at (0.000, 0.000, 0.000), Rh at (0.000, 0.000, 0.500) and W at (0.500, 0.500, 0.238).

[2]
NdMgIn2 | PBE-GGA | optimized geometry

The calculation puts the formation energy at -0.319 eV/atom. The total energy is -3.279 eV per atom.

The structure belongs to space group R-3m (No. 166, hexagonal axes); the cell edges are 4.8129, 4.8129 and 16.1898 Å and the angles 90.00°, 90.00° and 120.00°. Symmetry generates all atoms from Nd at (0.0000, 0.0000, 0.0000), Mg at (0.0000, 0.0000, 0.5000) and In at (0.0000, 0.0000, 0.2257).

[3]
InAsCl2 | PBE-GGA | optimized geometry

For the excess energy over the best structure of this formula in the dataset, the calculation gives 0.3163 eV/atom. As for the uncorrected formation energy: -163.1 meV/atom. The total energy is -2.933 eV per atom.

The structure belongs to space group P4mm (No. 99); the cell edges are 3.452, 3.452 and 8.592 Å and the angles 90.00°, 90.00° and 90.00°. Symmetry generates all atoms from In at (0.000, 0.000, 0.000), As at (0.500, 0.500, 0.222), Cl at (0.000, 0.000, 0.394) and Cl at (0.500, 0.500, 0.812).

[4]
Sr2ZnGeAu6 | PBE-GGA | optimized geometry

The calculation puts the formation energy at -0.453 eV/atom. The total energy is -3.345 eV per atom.

The structure belongs to space group P-1 (No. 2); the cell edges are 5.647, 7.017 and 7.164 Å and the angles 77.90°, 66.81° and 66.38°. Symmetry generates all atoms from Sr at (0.248, 0.213, 0.289), Zn at (0.500, 0.500, 0.500), Ge at (0.000, 0.000, 0.000), Au at (0.249, 0.752, 0.253), Au at (0.253, 0.248, 0.746) and Au at (0.254, 0.608, 0.887).

[5]
SrSi2As | PBE-GGA | optimized geometry

As for the uncorrected formation energy: 44.7 meV/atom. The total energy is -4.250 eV per atom.

The structure belongs to space group P4/mmm (No. 123); the cell edges are 4.309, 4.309 and 4.564 Å and the angles 90.00°, 90.00° and 90.00°. Symmetry generates all atoms from Sr at (0.000, 0.000, 0.000), Si at (0.000, 0.500, 0.500) and As at (0.500, 0.500, 0.000).

[6]
SbTe2IrO | PBE-GGA | optimized geometry

For the excess energy over the best structure of this formula in the dataset, the calculation gives 0.4020 eV/atom. As for the uncorrected formation energy: 943.3 meV/atom. The total energy is -3.902 eV per atom.

The structure belongs to space group P4/mmm (No. 123); the cell edges are 5.240, 5.240 and 5.138 Å and the angles 90.00°, 90.00° and 90.00°. Symmetry generates all atoms from Sb at (0.000, 0.000, 0.000), Te at (0.000, 0.500, 0.500), Ir at (0.000, 0.000, 0.500) and O at (0.500, 0.500, 0.000).

[7]
Ti4Ga2Ru | PBE-GGA | optimized geometry

The calculation puts the formation energy at 0.287 eV/atom. The total energy is -6.414 eV per atom.

The structure belongs to space group I4/mmm (No. 139); the cell edges are 4.541, 4.541 and 13.717 Å and the angles 90.00°, 90.00° and 90.00°. Symmetry generates all atoms from Ti at (0.000, 0.000, 0.181), Ti at (0.000, 0.500, 0.000), Ga at (0.000, 0.000, 0.371) and Ru at (0.000, 0.000, 0.000).

[8]
PmDyTh2Se4 | PBE-GGA | optimized geometry

As for the uncorrected formation energy: -1652.3 meV/atom. The total energy is -6.419 eV per atom.

The structure belongs to space group P2/m (No. 10); the cell edges are 7.079, 4.149 and 7.388 Å and the angles 90.00°, 109.11° and 90.00°. Symmetry generates all atoms from Pm at (0.000, 0.000, 0.000), Dy at (0.500, 0.500, 0.000), Th at (0.000, 0.500, 0.500), Th at (0.500, 0.000, 0.500), Se at (0.252, 0.500, 0.241) and Se at (0.259, 0.000, 0.762).

Number 1: total moment 0.27 μB per formula unit, D(E_F) 3.12 states/eV/cell. Number 2: total moment 0.00 μB per formula unit, D(E_F) 5.78 states/eV/cell. Number 3: total moment 0.00 μB per formula unit, D(E_F) 2.57 states/eV/cell. Number 4: total moment 0.00 μB per formula unit, D(E_F) 2.74 states/eV/cell. Number 5: total moment 0.00 μB per formula unit, D(E_F) 2.06 states/eV/cell. Number 6: total moment 0.11 μB per formula unit, D(E_F) 8.48 states/eV/cell. Number 7: total moment 0.00 μB per formula unit, D(E_F) 18.38 states/eV/cell. Number 8: total moment 0.00 μB per formula unit, D(E_F) 5.16 states/eV/cell.